# 1
Density functional theory data (PBE) for crystalline LaHoSnAu at its relaxed geometry.

ΔE_f = -69.00 kJ/mol of atoms

Lattice parameters (Å, degrees): 7.5696 7.5696 7.5696 90.00 90.00 90.00
Last column: nearest neighbours and their distance in Å.
Space group F-43m (No. 216)
One atom of each set of equivalent atoms:
La (0.0000, 0.0000, 0.0000)  4 Au 3.28, 4 Sn 3.28
Ho (0.0000, 0.0000, 0.5000)  4 Sn 3.28, 4 Au 3.28
Sn (0.2500, 0.2500, 0.7500)  4 La 3.28, 4 Ho 3.28
Au (0.2500, 0.2500, 0.2500)  4 La 3.28, 4 Ho 3.28

***

# 2
Density functional theory data (PBE) for crystalline Al3Fe at its relaxed geometry.

ΔE_f = -6.90 kJ/mol of atoms

Lattice parameters (Å, degrees): 5.2584 7.7782 2.7774 90.00 90.00 90.00
Last column: nearest neighbours and their distance in Å.
Space group Cmmm (No. 65)
One atom of each set of equivalent atoms:
Al (0.0000, 0.0000, 0.0000)  2 Fe 2.63, 10 Al 2.73-2.78
Al (0.2500, 0.2500, 0.5000)  8 Al 2.63-2.78, 4 Fe 2.73
Fe (0.0000, 0.5000, 0.0000)  10 Al 2.63-2.73, 2 Fe 2.78

***

# 3
Density functional theory data (PBE) for crystalline Li5MgPb6 at its relaxed geometry.

ΔE_f = -23.57 kJ/mol of atoms

Lattice parameters (Å, degrees): 5.0714 7.2668 7.9917 90.00 108.33 90.00
Last column: nearest neighbours and their distance in Å.
Space group P2/m (No. 10)
One atom of each set of equivalent atoms:
Li (0.0000, 0.0000, 0.0000)  8 Pb 3.09-3.15
Li (0.3334, 0.0000, 0.6670)  8 Pb 3.08-3.12
Li (0.3365, 0.5000, 0.6726)  8 Pb 3.11-3.12
Mg (0.0000, 0.5000, 0.0000)  8 Pb 3.15
Pb (0.1698, 0.2495, 0.3396)  7 Li 3.08-3.15, 1 Mg 3.15
Pb (0.5000, 0.2422, 0.0000)  6 Li 3.08-3.11, 2 Mg 3.15

***

# 4
Density functional theory data (PBE) for crystalline La3Pm2In3 at its relaxed geometry.

ΔE_f = -36.10 kJ/mol of atoms

Lattice parameters (Å, degrees): 4.5721 5.1489 21.2609 90.00 90.00 90.00
Last column: nearest neighbours and their distance in Å.
Space group Immm (No. 71)
One atom of each set of equivalent atoms:
La (0.0000, 0.0000, 0.0000)  8 In 3.44-3.54, 4 La 3.63
La (0.0000, 0.5000, 0.1201)  6 In 3.43-3.45, 4 Pm 3.56-3.83, 2 La 3.63
Pm (0.0000, 0.0000, 0.2355)  2 In 3.24, 4 Pm 3.50, 2 La 3.56
In (0.0000, 0.0000, 0.5000)  8 La 3.43-3.44, 4 In 3.74
In (0.0000, 0.5000, 0.3726)  2 Pm 3.24, 6 La 3.45-3.54

***

# 5
Density functional theory data (PBE) for crystalline SrSc2O at its relaxed geometry.

raw formation energy = -1334 meV/atom

Lattice parameters (Å, degrees): 9.5741 9.5741 9.5741 90.00 90.00 90.00
Last column: nearest neighbours and their distance in Å.
Space group Fd-3m (No. 227, origin choice 2)
One atom of each set of equivalent atoms:
Sr (0.1250, 0.1250, 0.1250)  12 Sc 3.97, 4 O 4.15, 4 Sr 4.15
Sc (0.0000, 0.0000, 0.5000)  2 O 2.07
O (0.1250, 0.1250, 0.6250)  4 Sc 2.07

***

# 6
Density functional theory data (PBE) for crystalline Sn2BiTe at its relaxed geometry.

raw formation energy = 50 meV/atom

Lattice parameters (Å, degrees): 3.7708 3.7708 8.3304 90.00 90.00 90.00
Last column: nearest neighbours and their distance in Å.
Space group P4/mmm (No. 123)
One atom of each set of equivalent atoms:
Sn (0.0000, 0.0000, 0.2325)  4 Te 3.30, 4 Bi 3.47
Bi (0.5000, 0.5000, 0.5000)  8 Sn 3.47, 4 Bi 3.77
Te (0.5000, 0.5000, 0.0000)  8 Sn 3.30